## CaCo2Pt (GGA-PBE)

Data for an optimized crystal structure of CaCo2Pt.

## Properties
Space-group type   Cmmm
Energy of formation from the pure elements   0.2021 eV per atom
Total moment   0.7191 μB/atom
Crystal system   orthorhombic
Total energy   -21.4 eV for the cell shown

Geometry as extended XYZ:
```
4
Lattice="-1.421 2.285 3.821 3.673 -2.531 1.396 1.751 2.181 -0.653" Properties=species:S:1:pos:R:3 pbc="T T T"
Ca 2.712 -0.175 0.371
Co 0.000 0.000 0.000
Co 1.126 -0.123 2.608
Pt 0.165 2.233 1.584
```